TlCd2W: relaxed, PBE. Values from VASP.

Summary:
E_form in eV per atom: 0.7829

Quantum ESPRESSO input file:
```
&SYSTEM
  ibrav = 0, nat = 4, ntyp = 3
/
ATOMIC_SPECIES
Tl 204.38 Tl.upf
Cd 112.41 Cd.upf
W 183.84 W.upf
CELL_PARAMETERS angstrom
4.252 0.000 0.000
0.000 4.252 0.000
0.000 0.000 4.464
ATOMIC_POSITIONS angstrom
Tl 0.000 0.000 0.000
Cd 0.000 2.126 2.232
Cd 2.126 0.000 2.232
W 2.126 2.126 0.000
```